Cr4Cu3O12: relaxed, PBE+U.

Lattice parameters (Å, degrees): 7.2975 7.2975 7.2975 90.00 90.00 90.00
Space group Im-3 (No. 204)
Asymmetric unit:
Cr 0.2500 0.2500 0.2500
Cu 0.0000 0.0000 0.5000
O 0.0000 0.3169 0.1757

Results
**D(E_F)**: 13.1 states/eV per cell
**Total energy**: -0.479 Ry per atom
**Calculated density**: 5.0 g/cm³